# AlAg3Ir, optimized geometry, DFT PBE
data_AlAg3Ir
_cell_length_a 4.651
_cell_length_b 4.651
_cell_length_c 4.651
_cell_angle_alpha 90.00
_cell_angle_beta 90.00
_cell_angle_gamma 90.00
_symmetry_space_group_name_H-M 'P m -3 m'
_symmetry_Int_Tables_number 221
_symmetry_space_group_name_Hall '-P 4 2 3'
loop_
_atom_site_label
_atom_site_type_symbol
_atom_site_fract_x
_atom_site_fract_y
_atom_site_fract_z
Al1 Al 0.000 0.000 0.000
Ag1 Ag 0.000 0.000 0.500
Ir1 Ir 0.500 0.500 0.500
# Magnetic moment   0.000 μB per atom
# Energy   -3.1092 eV/atom
# Energy relative to the elements   1122 meV/atom

# CeTh6Sc4, optimized geometry, DFT PBE
data_CeTh6Sc4
_cell_length_a 6.914
_cell_length_b 6.914
_cell_length_c 13.947
_cell_angle_alpha 90.00
_cell_angle_beta 90.00
_cell_angle_gamma 90.00
_symmetry_space_group_name_H-M 'I -4 2 m'
_symmetry_Int_Tables_number 121
_symmetry_space_group_name_Hall 'I -4 2'
loop_
_atom_site_label
_atom_site_type_symbol
_atom_site_fract_x
_atom_site_fract_y
_atom_site_fract_z
Ce1 Ce 0.000 0.000 0.000
Th1 Th 0.000 0.500 0.000
Th2 Th 0.198 0.198 0.179
Sc1 Sc 0.159 0.159 0.405
# Magnetic moment   0.000 μB per atom
# Energy   -6.4919 eV/atom
# Energy relative to the elements   397 meV/atom

# DyTmBe, optimized geometry, DFT PBE
data_DyTmBe
_cell_length_a 3.431
_cell_length_b 3.431
_cell_length_c 11.903
_cell_angle_alpha 90.00
_cell_angle_beta 90.00
_cell_angle_gamma 90.00
_symmetry_space_group_name_H-M 'I 4 m m'
_symmetry_Int_Tables_number 107
_symmetry_space_group_name_Hall 'I 4 -2'
loop_
_atom_site_label
_atom_site_type_symbol
_atom_site_fract_x
_atom_site_fract_y
_atom_site_fract_z
Dy1 Dy 0.000 0.000 0.000
Tm1 Tm 0.000 0.000 0.272
Be1 Be 0.000 0.000 0.640
# Magnetic moment   0.000 μB per atom
# Energy   -4.1899 eV/atom
# Energy relative to the elements   77 meV/atom

# GaNi4Pt3, optimized geometry, DFT PBE
data_GaNi4Pt3
_cell_length_a 10.065
_cell_length_b 4.947
_cell_length_c 5.018
_cell_angle_alpha 90.00
_cell_angle_beta 118.89
_cell_angle_gamma 90.00
_symmetry_space_group_name_H-M 'C 1 m 1'
_symmetry_Int_Tables_number 8
_symmetry_space_group_name_Hall 'C -2y'
loop_
_atom_site_label
_atom_site_type_symbol
_atom_site_fract_x
_atom_site_fract_y
_atom_site_fract_z
Ga1 Ga 0.000 0.000 0.000
Ni1 Ni 0.263 0.000 0.411
Ni2 Ni 0.269 0.500 0.049
Ni3 Ni 0.487 0.247 0.439
Pt1 Pt 0.219 0.000 0.874
Pt2 Pt 0.242 0.500 0.522
Pt3 Pt 0.499 0.000 0.931
# Magnetic moment   0.261 μB per atom
# Energy   -5.5721 eV/atom
# Energy relative to the elements   -38 meV/atom

D(E_F)? In order: 3.203, 37.874, 6.331, 25.373 states/eV/cell.